# Cd6Pd2Rh

Crystalline Cd6Pd2Rh at its relaxed geometry (PBE, Alexandria).

Unit cell a=4.6856 b=4.6856 c=8.8618 alpha=90.00 beta=90.00 gamma=120.00
Last column: nearest neighbours and their distance in Å.
Fractional coordinates of all 9 atoms:
Pd 0.3333 0.6667 0.7334  8 Cd 2.78-2.98
Pd 0.6667 0.3333 0.2666  8 Cd 2.78-2.98
Cd 0.3333 0.6667 0.4073  3 Rh 2.83, 4 Pd 2.89-2.98, 4 Cd 3.05-3.16
Cd 0.3333 0.6667 0.0626  4 Pd 2.92-3.25, 7 Cd 2.92-3.05
Cd 0.0000 0.0000 0.8078  1 Rh 2.73, 3 Pd 2.78, 3 Cd 2.94
Cd 0.6667 0.3333 0.9374  4 Pd 2.92-3.25, 7 Cd 2.92-3.05
Cd 0.6667 0.3333 0.5927  3 Rh 2.83, 4 Pd 2.89-2.98, 4 Cd 3.05-3.16
Cd 0.0000 0.0000 0.1922  1 Rh 2.73, 3 Pd 2.78, 3 Cd 2.94
Rh 0.0000 0.0000 0.5000  8 Cd 2.73-2.83

Values from the calculation:
**Symmetry**: P-3m1, No. 164
**Energy**: -24.9 eV for the cell shown
**DOS(E_F)**: 4.57 states/eV/f.u.
**Formation energy**: -183 meV per atom
**Volume**: 18.72 A^3/atom
**Energy relative to the lowest polymorph listed for this composition**: 0.00 eV per formula unit
**ρ**: 9.759 g/cm3